DFT (PBE) results for an optimized crystal structure of SrSc3O.

## Properties
- Raw formation energy: -0.729 eV/atom
- Total magnetic moment: 0.001 μB/atom
- Offset from the most stable computed form: 0 meV per atom
- Fermi-level density of states: 7.59 states/eV/cell

Unit cell a=4.763 b=4.763 c=4.763 alpha=90.00 beta=90.00 gamma=90.00
Space group Pm-3m (No. 221)
One atom of each set of equivalent atoms:
Sr: 0.000 0.000 0.000
Sc: 0.000 0.500 0.500
O: 0.500 0.500 0.500

DFT (PBE) results for an optimized crystal structure of Nd3Dy3Tm.

## Properties
- Total magnetic moment: 0.000 μB/atom
- Offset from the most stable computed form: 228 meV per atom
- Fermi-level density of states: 61.62 states/eV/cell
- Formation energy from the elements: 24 kJ/mol of atoms

Unit cell a=8.6882 b=8.6882 c=21.8719 alpha=90.00 beta=90.00 gamma=120.00
Space group R-3 (No. 148, hexagonal axes)
One atom of each set of equivalent atoms:
Nd: 0.0045 0.7631 0.0589
Dy: 0.0554 0.6055 0.8804
Tm: 0.0000 0.0000 0.3476

Which value of Fermi-level density of states does entry 1 give?
7.59 states/eV/cell

What did the first record say?
DFT (PBE) results for an optimized crystal structure of SrSc3O.

## Properties
- Raw formation energy: -0.729 eV/atom
- Total magnetic moment: 0.001 μB/atom
- Offset from the most stable computed form: 0 meV per atom
- Fermi-level density of states: 7.59 states/eV/cell

Unit cell a=4.763 b=4.763 c=4.763 alpha=90.00 beta=90.00 gamma=90.00
Space group Pm-3m (No. 221)
One atom of each set of equivalent atoms:
Sr: 0.000 0.000 0.000
Sc: 0.000 0.500 0.500
O: 0.500 0.500 0.500

offset from the most stable computed form of number 1 (SrSc3O)?
0 meV per atom

Which value of total magnetic moment does entry 2 give?
0.000 μB/atom